First-principles (GGA-PBE) data for LaInSN2 after structural relaxation, as listed in Alexandria via LeMat-Bulk.

Values from the calculation:
Total magnetization, μB per cell: 1.39
VASP energy, Ry per atom: -0.4085

Structure (CIF):
```
data_LaInSN2
_cell_length_a 4.244
_cell_length_b 4.244
_cell_length_c 5.127
_cell_angle_alpha 90.00
_cell_angle_beta 90.00
_cell_angle_gamma 90.00
_space_group_name_H-M_alt 'P 4/m m m'
_space_group_IT_number 123
_space_group_name_Hall '-P 4 2'
loop_
_atom_site_label
_atom_site_type_symbol
_atom_site_fract_x
_atom_site_fract_y
_atom_site_fract_z
La1 La 0.000 0.000 0.000
In1 In 0.500 0.500 0.500
S1 S 0.500 0.500 0.000
N1 N 0.000 0.500 0.500
```

***

First-principles (GGA-PBE) data for LaInSbN2 after structural relaxation, as listed in Alexandria via LeMat-Bulk.

Values from the calculation:
Total magnetization, μB per cell: 2.92
VASP energy, Ry per atom: -0.3361

Structure (CIF):
```
data_LaInSbN2
_cell_length_a 4.398
_cell_length_b 4.398
_cell_length_c 6.896
_cell_angle_alpha 90.00
_cell_angle_beta 90.00
_cell_angle_gamma 90.00
_space_group_name_H-M_alt 'P 4/m m m'
_space_group_IT_number 123
_space_group_name_Hall '-P 4 2'
loop_
_atom_site_label
_atom_site_type_symbol
_atom_site_fract_x
_atom_site_fract_y
_atom_site_fract_z
La1 La 0.000 0.000 0.000
In1 In 0.000 0.000 0.500
Sb1 Sb 0.500 0.500 0.000
N1 N 0.000 0.500 0.500
```

***

First-principles (GGA-PBE) data for La2ScInN after structural relaxation, as listed in Alexandria via LeMat-Bulk.

Values from the calculation:
Total magnetization, μB per cell: 0.00
VASP energy, Ry per atom: -0.4657

Structure (CIF):
```
data_La2ScInN
_cell_length_a 5.191
_cell_length_b 5.191
_cell_length_c 4.505
_cell_angle_alpha 90.00
_cell_angle_beta 90.00
_cell_angle_gamma 90.00
_space_group_name_H-M_alt 'P 4/m m m'
_space_group_IT_number 123
_space_group_name_Hall '-P 4 2'
loop_
_atom_site_label
_atom_site_type_symbol
_atom_site_fract_x
_atom_site_fract_y
_atom_site_fract_z
La1 La 0.000 0.500 0.000
Sc1 Sc 0.000 0.000 0.500
In1 In 0.500 0.500 0.500
N1 N 0.000 0.000 0.000
```

***

First-principles (GGA-PBE) data for LaSc2InN after structural relaxation, as listed in Alexandria via LeMat-Bulk.

Values from the calculation:
Total magnetization, μB per cell: 2.20
VASP energy, Ry per atom: -0.3541

Structure (CIF):
```
data_LaSc2InN
_cell_length_a 5.719
_cell_length_b 5.719
_cell_length_c 4.152
_cell_angle_alpha 90.00
_cell_angle_beta 90.00
_cell_angle_gamma 90.00
_space_group_name_H-M_alt 'P 4/m m m'
_space_group_IT_number 123
_space_group_name_Hall '-P 4 2'
loop_
_atom_site_label
_atom_site_type_symbol
_atom_site_fract_x
_atom_site_fract_y
_atom_site_fract_z
La1 La 0.000 0.000 0.000
Sc1 Sc 0.000 0.500 0.500
In1 In 0.500 0.500 0.500
N1 N 0.500 0.500 0.000
```

***

First-principles (GGA-PBE) data for LaSc2InN after structural relaxation, as listed in Alexandria via LeMat-Bulk.

Values from the calculation:
Total magnetization, μB per cell: 0.00
VASP energy, Ry per atom: -0.4874

Structure (CIF):
```
data_LaSc2InN
_cell_length_a 4.612
_cell_length_b 4.612
_cell_length_c 5.015
_cell_angle_alpha 90.00
_cell_angle_beta 90.00
_cell_angle_gamma 90.00
_space_group_name_H-M_alt 'P 4/m m m'
_space_group_IT_number 123
_space_group_name_Hall '-P 4 2'
loop_
_atom_site_label
_atom_site_type_symbol
_atom_site_fract_x
_atom_site_fract_y
_atom_site_fract_z
La1 La 0.000 0.000 0.000
Sc1 Sc 0.000 0.500 0.500
In1 In 0.500 0.500 0.000
N1 N 0.000 0.000 0.500
```

***

First-principles (GGA-PBE) data for La2ScInN after structural relaxation, as listed in Alexandria via LeMat-Bulk.

Values from the calculation:
Total magnetization, μB per cell: 0.00
VASP energy, Ry per atom: -0.4274

Structure (CIF):
```
data_La2ScInN
_cell_length_a 4.973
_cell_length_b 4.973
_cell_length_c 5.140
_cell_angle_alpha 90.00
_cell_angle_beta 90.00
_cell_angle_gamma 90.00
_space_group_name_H-M_alt 'P 4/m m m'
_space_group_IT_number 123
_space_group_name_Hall '-P 4 2'
loop_
_atom_site_label
_atom_site_type_symbol
_atom_site_fract_x
_atom_site_fract_y
_atom_site_fract_z
La1 La 0.000 0.500 0.000
Sc1 Sc 0.000 0.000 0.500
In1 In 0.500 0.500 0.500
N1 N 0.500 0.500 0.000
```

***

Summary of density of states at the Fermi level in states/eV/cell
3.05 2.46 3.52 10.16 2.98 6.50
(order as listed above)